No. 1
The following is a PBE calculation of a relaxed structure of SmGaNiN, from Alexandria via LeMat-Bulk.

The raw total energy is -6.286 eV/atom.

The structure belongs to space group P4/nmm (No. 129, origin choice 2); the cell edges are 3.6706, 3.6706 and 9.1125 Å and the angles 90.00°, 90.00° and 90.00°. Symmetry generates all atoms from Sm at (0.2500, 0.2500, 0.1378), Ga at (0.2500, 0.2500, 0.6642), Ni at (0.2500, 0.7500, 0.5000) and N at (0.2500, 0.2500, 0.8815).

---

No. 2
The following is a PBE calculation of a relaxed structure of TlTcPt2, from Alexandria via LeMat-Bulk.

Its energy relative to the elements is 0.284 eV/atom.

The structure belongs to space group P4/mmm (No. 123); the cell edges are 4.0279, 4.0279 and 4.2159 Å and the angles 90.00°, 90.00° and 90.00°. Symmetry generates all atoms from Tl at (0.0000, 0.0000, 0.0000), Tc at (0.5000, 0.5000, 0.0000) and Pt at (0.0000, 0.5000, 0.5000).

---

No. 3
The following is a PBE calculation of a relaxed structure of MgSiW, from Alexandria via LeMat-Bulk.

The raw total energy is -6.608 eV/atom.

The structure belongs to space group C2/m (No. 12); the cell edges are 5.9710, 12.9185 and 2.8077 Å and the angles 90.00°, 110.96° and 90.00°. Symmetry generates all atoms from Mg at (0.0000, 0.1857, 0.0000), Si at (0.0000, 0.3732, 0.5000) and W at (0.2207, 0.0000, 0.8032).

---

No. 4
The following is a PBE calculation of a relaxed structure of AuO, from Alexandria via LeMat-Bulk.

The raw total energy is -3.517 eV/atom.

The structure belongs to space group Pm-3n (No. 223); the cell edges are 6.2971, 6.2971 and 6.2971 Å and the angles 90.00°, 90.00° and 90.00°. Symmetry generates all atoms from Au at (0.0000, 0.2500, 0.5000) and O at (0.0000, 0.5000, 0.2500).

---

No. 5
The following is a PBE calculation of a relaxed structure of Li2CaThSe4, from Alexandria via LeMat-Bulk.

The raw total energy is -5.019 eV/atom.

The structure belongs to space group P2/m (No. 10); the cell edges are 6.8907, 4.2297 and 7.1941 Å and the angles 90.00°, 109.57° and 90.00°. Symmetry generates all atoms from Li at (0.0000, 0.0000, 0.0000), Li at (0.0000, 0.5000, 0.5000), Ca at (0.5000, 0.0000, 0.5000), Th at (0.5000, 0.5000, 0.0000), Se at (0.2418, 0.0000, 0.7549) and Se at (0.2449, 0.5000, 0.2451).

---

No. 6
The following is a PBE calculation of a relaxed structure of BaGeS3, from Alexandria via LeMat-Bulk.

The raw total energy is -4.866 eV/atom.

The structure belongs to space group P2_1/c (No. 14); the cell edges are 6.5843, 6.8778 and 11.7633 Å and the angles 90.00°, 93.85° and 90.00°. Symmetry generates all atoms from Ba at (0.1035, 0.2112, 0.1337), Ge at (0.4501, 0.6824, 0.0730), S at (0.1302, 0.7226, 0.1163), S at (0.3203, 0.1008, 0.8781) and S at (0.4366, 0.6266, 0.8795).

---

No. 7
The following is a PBE calculation of a relaxed structure of Tb4SmDy2Er, from Alexandria via LeMat-Bulk.

Its energy relative to the elements is 0.016 eV/atom.

The structure belongs to space group P4/mmm (No. 123); the cell edges are 5.0240, 5.0240 and 10.0647 Å and the angles 90.00°, 90.00° and 90.00°. Symmetry generates all atoms from Tb at (0.0000, 0.5000, 0.2483), Sm at (0.0000, 0.0000, 0.5000), Dy at (0.0000, 0.0000, 0.0000), Dy at (0.5000, 0.5000, 0.5000) and Er at (0.5000, 0.5000, 0.0000).

---

No. 8
The following is a PBE calculation of a relaxed structure of La2Ga2Co, from Alexandria via LeMat-Bulk.

Its energy relative to the elements is -0.462 eV/atom.

The structure belongs to space group C2/m (No. 12); the cell edges are 10.7504, 4.5532 and 10.2958 Å and the angles 90.00°, 116.10° and 90.00°. Symmetry generates all atoms from La at (0.0913, 0.0000, 0.3983), La at (0.1661, 0.5000, 0.1715), Ga at (0.0929, 0.0000, 0.9344), Ga at (0.1210, 0.5000, 0.6367) and Co at (0.1596, 0.5000, 0.8954).

---

No. 9
The following is a PBE calculation of a relaxed structure of Na4In2Pb5, from Alexandria via LeMat-Bulk.

Its energy relative to the elements is -0.062 eV/atom.

The structure belongs to space group P2/m (No. 10); the cell edges are 10.1698, 3.5271 and 10.2151 Å and the angles 90.00°, 117.90° and 90.00°. Symmetry generates all atoms from Na at (0.2337, 0.0000, 0.2274), Na at (0.2517, 0.0000, 0.7466), In at (0.4393, 0.5000, 0.1123), Pb at (0.0918, 0.5000, 0.9107), Pb at (0.1212, 0.5000, 0.4368) and Pb at (0.5000, 0.5000, 0.5000).

---

No. 10
The following is a PBE calculation of a relaxed structure of PmDy2PbC, from Alexandria via LeMat-Bulk.

Its energy relative to the elements is -0.501 eV/atom.

The structure belongs to space group P4/mmm (No. 123); the cell edges are 4.9275, 4.9275 and 5.0861 Å and the angles 90.00°, 90.00° and 90.00°. Symmetry generates all atoms from Pm at (0.0000, 0.0000, 0.0000), Dy at (0.0000, 0.5000, 0.5000), Pb at (0.5000, 0.5000, 0.0000) and C at (0.0000, 0.0000, 0.5000).

---

No. 11
The following is a PBE calculation of a relaxed structure of CeFeH5, from Alexandria via LeMat-Bulk.

The raw total energy is -4.798 eV/atom.

The structure belongs to space group Immm (No. 71); the cell edges are 3.7018, 4.6132 and 6.5025 Å and the angles 90.00°, 90.00° and 90.00°. Symmetry generates all atoms from Ce at (0.0000, 0.0000, 0.0000), Fe at (0.0000, 0.0000, 0.5000), H at (0.0000, 0.2513, 0.3329) and H at (0.0000, 0.5000, 0.0000).

---

No. 12
The following is a PBE calculation of a relaxed structure of InBiAu4, from Alexandria via LeMat-Bulk.

Its energy relative to the elements is -0.041 eV/atom.

The structure belongs to space group F-43m (No. 216); the cell edges are 8.0215, 8.0215 and 8.0215 Å and the angles 90.00°, 90.00° and 90.00°. Symmetry generates all atoms from In at (0.0000, 0.0000, 0.0000), Bi at (0.2500, 0.2500, 0.2500) and Au at (0.1251, 0.1251, 0.6251).

---

| no. | DOS at the Fermi energy (states/eV/atom) |
| --- | --- |
| 1 | 0.468 |
| 2 | 0.889 |
| 3 | 0.296 |
| 4 | 1.301 |
| 5 | 0.000 |
| 6 | 0.000 |
| 7 | 1.312 |
| 8 | 0.858 |
| 9 | 0.449 |
| 10 | 0.455 |
| 11 | 0.385 |
| 12 | 0.317 |